No. 1
First-principles (PBE) data for an optimized crystal structure of RbCuPO2, as listed in Alexandria via LeMat-Bulk.

Geometry as extended XYZ:
```
5
Lattice="4.3157 0.0000 0.0000 0.0000 4.3157 0.0000 0.0000 0.0000 4.2818" Properties=species:S:1:pos:R:3 pbc="T T T"
Rb 0.0000 0.0000 0.0000
Cu 2.1579 2.1579 2.1409
P 2.1579 2.1579 0.0000
O 0.0000 2.1579 2.1409
O 2.1579 0.0000 2.1409
```

Computed properties:
Total energy: -19.377 eV for the cell shown
Magnetization: 0.10 Bohr magnetons per cell
SG: P4/mmm
Uncorrected formation energy: 0.20 eV/atom

No. 2
First-principles (PBE) data for an optimized crystal structure of RbCuPO2, as listed in Alexandria via LeMat-Bulk.

Geometry as extended XYZ:
```
5
Lattice="4.1800 0.0000 0.0000 0.0000 4.1800 0.0000 0.0000 0.0000 7.1335" Properties=species:S:1:pos:R:3 pbc="T T T"
Rb 0.0000 0.0000 0.0000
Cu 2.0900 2.0900 3.5667
P 0.0000 0.0000 3.5667
O 0.0000 2.0900 0.0000
O 2.0900 0.0000 0.0000
```

Computed properties:
Total energy: -13.094 eV for the cell shown
Magnetization: 2.37 Bohr magnetons per cell
SG: P4/mmm
Uncorrected formation energy: 1.46 eV/atom